# 1
Below is a geometry-optimized Ge3As2Pd8 structure, with properties calculated at the GGA-PBE level.

a b c (Å): 6.5774 7.9123 6.5780
angles (deg): 126.97 110.33 90.00
Closest atoms and distances in Å follow each position.
Fractional positions:
Ge 0.0000 0.7407 0.0000  6 Pd 2.46-2.53
Ge 0.5000 0.0000 0.0000  6 Pd 2.44-2.48
Ge 0.0000 0.2593 0.0000  6 Pd 2.46-2.53
Pd 0.8574 0.5865 0.1730  2 Ge 2.46, 1 As 2.50
Pd 0.4187 0.8549 0.2105  2 Ge 2.44-2.48, 1 As 2.52
Pd 0.9183 0.1101 0.2202  3 Ge 2.48-2.53, 1 As 2.57
Pd 0.1426 0.4135 0.8270  2 Ge 2.46, 1 As 2.50
Pd 0.4187 0.3557 0.2105  2 Ge 2.44-2.48, 1 As 2.52
Pd 0.5813 0.1451 0.7895  2 Ge 2.44-2.48, 1 As 2.52
Pd 0.0817 0.8899 0.7798  3 Ge 2.48-2.53, 1 As 2.57
Pd 0.5813 0.6443 0.7895  2 Ge 2.44-2.48, 1 As 2.52
As 0.6516 0.7382 0.4764  6 Pd 2.50-2.74
As 0.3484 0.2618 0.5236  6 Pd 2.50-2.74

Values from the calculation:
final energy = -5.186 eV/atom
density of states at the Fermi level = 0.337 states/eV per atom



# 2
Below is a geometry-optimized PmEuGeAu structure, with properties calculated at the GGA-PBE level.

a b c (Å): 5.2465 5.2465 5.2465
angles (deg): 60.00 60.00 60.00
Closest atoms and distances in Å follow each position.
Fractional positions:
Ge 0.2500 0.2500 0.2500  4 Pm 3.21, 4 Eu 3.21
Eu 0.5000 0.5000 0.5000  4 Au 3.21, 4 Ge 3.21
Pm 0.0000 0.0000 0.0000  4 Au 3.21, 4 Ge 3.21
Au 0.7500 0.7500 0.7500  4 Eu 3.21, 4 Pm 3.21

Values from the calculation:
final energy = -6.471 eV/atom
density of states at the Fermi level = 1.977 states/eV per atom



# 3
Below is a geometry-optimized SmCu10Ni2 structure, with properties calculated at the GGA-PBE level.

a b c (Å): 4.8419 6.4283 6.4603
angles (deg): 81.89 67.99 67.88
Closest atoms and distances in Å follow each position.
Fractional positions:
Cu 0.0000 0.0000 0.5000  10 Cu 2.42-2.61
Cu 0.2752 0.2262 0.2234  2 Ni 2.43, 8 Cu 2.45-2.69
Cu 0.5000 0.0000 0.5000  10 Cu 2.42-2.61
Cu 0.3542 0.6416 0.6501  7 Cu 2.46-2.67, 2 Ni 2.56
Cu 0.6458 0.3584 0.3499  7 Cu 2.46-2.67, 2 Ni 2.56
Cu 0.5014 0.7738 0.2234  2 Ni 2.43, 8 Cu 2.45-2.69
Cu 0.7248 0.7738 0.7766  2 Ni 2.43, 8 Cu 2.45-2.69
Cu 0.9958 0.3584 0.6501  7 Cu 2.46-2.67, 2 Ni 2.56
Cu 0.4986 0.2262 0.7766  2 Ni 2.43, 8 Cu 2.45-2.69
Cu 0.0042 0.6416 0.3499  7 Cu 2.46-2.67, 2 Ni 2.56
Ni 0.5000 0.5000 0.0000  2 Ni 2.42, 8 Cu 2.43-2.56
Ni 0.0000 0.5000 0.0000  2 Ni 2.42, 8 Cu 2.43-2.56
Sm 0.0000 0.0000 0.0000  16 Cu 2.99-3.23, 4 Ni 3.21

Values from the calculation:
final energy = -4.495 eV/atom
density of states at the Fermi level = 0.490 states/eV per atom



# 4
Below is a geometry-optimized La6Tc2IrCl3 structure, with properties calculated at the GGA-PBE level.

a b c (Å): 7.0585 7.0585 8.1365
angles (deg): 99.32 99.32 117.45
Closest atoms and distances in Å follow each position.
Fractional positions:
La 0.5833 0.9149 0.8062  1 Tc 2.80, 1 Ir 2.84
La 0.4167 0.0851 0.1938  1 Tc 2.80, 1 Ir 2.84
La 0.7571 0.7571 0.2332  2 Tc 2.69, 1 Ir 2.98
La 0.2429 0.2429 0.7668  2 Tc 2.69, 1 Ir 2.98
La 0.9149 0.5833 0.8062  1 Tc 2.80, 1 Ir 2.84
La 0.0851 0.4167 0.1938  1 Tc 2.80, 1 Ir 2.84
Tc 0.3743 0.6257 0.0000  4 La 2.69-2.80
Tc 0.6257 0.3743 0.0000  4 La 2.69-2.80
Cl 0.1821 0.8179 0.5000  6 La 3.17-3.53
Cl 0.5000 0.5000 0.5000  6 La 3.27-3.29
Cl 0.8179 0.1821 0.5000  6 La 3.17-3.53
Ir 0.0000 0.0000 0.0000  6 La 2.84-2.98

Values from the calculation:
formation energy without anion corrections = -0.933 eV per atom
final energy = -6.324 eV/atom
density of states at the Fermi level = 0.246 states/eV per atom



# 5
Below is a geometry-optimized PIrRu2 structure, with properties calculated at the GGA-PBE level.

a b c (Å): 4.3033 4.3033 4.3033
angles (deg): 60.00 60.00 60.00
Closest atoms and distances in Å follow each position.
Fractional positions:
P 0.2500 0.2500 0.2500  4 Ru 2.64, 4 Ir 2.64
Ru 0.7500 0.7500 0.7500  4 Ru 2.64, 4 Ir 2.64
Ru 0.0000 0.0000 0.0000  4 Ru 2.64, 4 P 2.64
Ir 0.5000 0.5000 0.5000  4 Ru 2.64, 4 P 2.64

Values from the calculation:
final energy = -7.821 eV/atom
density of states at the Fermi level = 1.382 states/eV per atom



# 6
Below is a geometry-optimized NaPd4 structure, with properties calculated at the GGA-PBE level.

a b c (Å): 4.5724 4.5724 4.5724
angles (deg): 90.00 90.00 90.00
Closest atoms and distances in Å follow each position.
Fractional positions:
Na 0.5000 0.5000 0.5000  6 Pd 2.29
Pd 0.5000 0.0000 0.5000  2 Na 2.29
Pd 0.0000 0.0000 0.0000  12 Pd 3.23
Pd 0.0000 0.5000 0.5000  2 Na 2.29
Pd 0.5000 0.5000 0.0000  2 Na 2.29

Values from the calculation:
final energy = -3.325 eV/atom
density of states at the Fermi level = 2.249 states/eV per atom



# 7
Below is a geometry-optimized Li3Y2PuSe6 structure, with properties calculated at the GGA-PBE level.

a b c (Å): 7.0986 7.0986 6.8978
angles (deg): 99.88 99.88 119.98
Closest atoms and distances in Å follow each position.
Fractional positions:
Se 0.9152 0.5785 0.7455  3 Li 2.83-2.86, 2 Y 2.87-2.88, 1 Pu 2.90
Se 0.4215 0.0848 0.2545  3 Li 2.83-2.86, 2 Y 2.87-2.88, 1 Pu 2.90
Se 0.5785 0.9152 0.7455  3 Li 2.83-2.86, 2 Y 2.87-2.88, 1 Pu 2.90
Se 0.0848 0.4215 0.2545  3 Li 2.83-2.86, 2 Y 2.87-2.88, 1 Pu 2.90
Se 0.7481 0.7481 0.2547  3 Li 2.83-2.87, 2 Y 2.87, 1 Pu 2.91
Se 0.2519 0.2519 0.7453  3 Li 2.83-2.87, 2 Y 2.87, 1 Pu 2.91
Y 0.6666 0.3334 0.0000  6 Se 2.87-2.88
Y 0.3334 0.6666 0.0000  6 Se 2.87-2.88
Li 0.1673 0.8327 0.5000  6 Se 2.83-2.87
Li 0.8327 0.1673 0.5000  6 Se 2.83-2.87
Li 0.5000 0.5000 0.5000  6 Se 2.83-2.86
Pu 0.0000 0.0000 0.0000  6 Se 2.90-2.91

Values from the calculation:
formation energy without anion corrections = -1.586 eV per atom
final energy = -6.078 eV/atom
density of states at the Fermi level = 1.076 states/eV per atom



# 8
Below is a geometry-optimized AsPAuBr2 structure, with properties calculated at the GGA-PBE level.

a b c (Å): 4.9075 4.9075 5.1845
angles (deg): 90.00 90.00 90.00
Closest atoms and distances in Å follow each position.
Fractional positions:
P 0.0000 0.0000 0.0000  4 Br 2.45, 2 As 2.59
As 0.0000 0.0000 0.5000  2 P 2.59
Br 0.0000 0.5000 0.0000  2 P 2.45
Br 0.5000 0.0000 0.0000  2 P 2.45
Au 0.5000 0.5000 0.5000  4 As 3.47, 8 Br 3.57

Values from the calculation:
formation energy without anion corrections = 0.639 eV per atom
final energy = -2.697 eV/atom
density of states at the Fermi level = 0.946 states/eV per atom



# 9
Below is a geometry-optimized Ba3NaSr3 structure, with properties calculated at the GGA-PBE level.

a b c (Å): 6.7219 15.6614 15.1848
angles (deg): 90.00 90.00 90.00
Closest atoms and distances in Å follow each position.
Fractional positions:
Ba 0.7500 0.3614 0.8175  3 Ba 4.08-4.57, 6 Sr 4.21-4.46, 2 Na 4.30
Ba 0.2500 0.3652 0.1848  4 Ba 4.08-4.28, 4 Sr 4.22-4.49, 2 Na 4.40
Ba 0.7500 0.7267 0.4156  1 Na 3.85, 2 Ba 4.28
Ba 0.2500 0.2733 0.5844  1 Na 3.85, 2 Ba 4.28
Ba 0.2500 0.1386 0.3175  3 Ba 4.08-4.57, 6 Sr 4.21-4.46, 2 Na 4.30
Ba 0.7500 0.2267 0.0844  1 Na 3.85, 2 Ba 4.28
Ba 0.7500 0.8614 0.6825  3 Ba 4.08-4.57, 6 Sr 4.21-4.46, 2 Na 4.30
Ba 0.2500 0.8652 0.3152  4 Ba 4.08-4.28, 4 Sr 4.22-4.49, 2 Na 4.40
Ba 0.7500 0.6348 0.8152  4 Ba 4.08-4.28, 4 Sr 4.22-4.49, 2 Na 4.40
Ba 0.7500 0.1348 0.6848  4 Ba 4.08-4.28, 4 Sr 4.22-4.49, 2 Na 4.40
Ba 0.2500 0.6386 0.1825  3 Ba 4.08-4.57, 6 Sr 4.21-4.46, 2 Na 4.30
Ba 0.2500 0.7733 0.9156  1 Na 3.85, 2 Ba 4.28
Sr 0.7500 0.2903 0.3935  1 Na 3.72
Sr 0.2500 0.5042 0.4226  3 Na 3.86-4.25, 3 Sr 4.10-4.26, 2 Ba 4.21-4.22
Sr 0.7500 0.4958 0.5774  3 Na 3.86-4.25, 3 Sr 4.10-4.26, 2 Ba 4.21-4.22
Sr 0.2500 0.9849 0.5644  1 Na 3.55, 2 Sr 3.92
Sr 0.2500 0.0042 0.0774  3 Na 3.86-4.25, 3 Sr 4.10-4.26, 2 Ba 4.21-4.22
Sr 0.2500 0.2097 0.8935  1 Na 3.72
Sr 0.7500 0.9958 0.9226  3 Na 3.86-4.25, 3 Sr 4.10-4.26, 2 Ba 4.21-4.22
Sr 0.7500 0.7903 0.1065  1 Na 3.72
Sr 0.7500 0.0151 0.4356  1 Na 3.55, 2 Sr 3.92
Sr 0.2500 0.7097 0.6065  1 Na 3.72
Sr 0.7500 0.5151 0.0644  1 Na 3.55, 2 Sr 3.92
Sr 0.2500 0.4849 0.9356  1 Na 3.55, 2 Sr 3.92
Na 0.2500 0.4909 0.7019  4 Sr 3.55-3.86, 1 Ba 3.85
Na 0.2500 0.9909 0.7981  4 Sr 3.55-3.86, 1 Ba 3.85
Na 0.7500 0.5091 0.2981  4 Sr 3.55-3.86, 1 Ba 3.85
Na 0.7500 0.0091 0.2019  4 Sr 3.55-3.86, 1 Ba 3.85

Values from the calculation:
final energy = -1.665 eV/atom
density of states at the Fermi level = 1.382 states/eV per atom



# 10
Below is a geometry-optimized K2Cl structure, with properties calculated at the GGA-PBE level.

a b c (Å): 7.4274 7.4274 7.4274
angles (deg): 60.00 60.00 60.00
Closest atoms and distances in Å follow each position.
Fractional positions:
Cl 0.7500 0.7500 0.7500  12 K 4.35, 4 Cl 4.55
Cl 0.5000 0.5000 0.5000  12 K 4.35, 4 Cl 4.55
K 0.1250 0.6250 0.1250  6 K 3.71
K 0.6250 0.1250 0.1250  6 K 3.71
K 0.1250 0.1250 0.1250  6 K 3.71
K 0.1250 0.1250 0.6250  6 K 3.71

Values from the calculation:
formation energy without anion corrections = -0.620 eV per atom
final energy = -1.967 eV/atom
density of states at the Fermi level = 0.163 states/eV per atom



# 11
Below is a geometry-optimized TlTeCl2 structure, with properties calculated at the GGA-PBE level.

a b c (Å): 3.4993 3.4589 8.8252
angles (deg): 90.00 90.00 90.00
Closest atoms and distances in Å follow each position.
Fractional positions:
Tl 0.5000 0.5000 0.7500  8 Cl 3.19, 4 Tl 3.46-3.50
Cl 0.0000 0.0000 0.9792  4 Tl 3.19, 4 Te 3.43, 4 Cl 3.46-3.50
Cl 0.0000 0.0000 0.5208  4 Tl 3.19, 4 Te 3.43, 4 Cl 3.46-3.50
Te 0.5000 0.5000 0.2500  8 Cl 3.43, 4 Te 3.46-3.50

Values from the calculation:
formation energy without anion corrections = -0.246 eV per atom
final energy = -2.546 eV/atom
density of states at the Fermi level = 0.834 states/eV per atom



# 12
Below is a geometry-optimized YVSn3 structure, with properties calculated at the GGA-PBE level.

a b c (Å): 5.1124 5.1124 5.1124
angles (deg): 90.00 90.00 90.00
Closest atoms and distances in Å follow each position.
Fractional positions:
Sn 0.0000 0.5000 0.0000  2 V 2.56
Sn 0.0000 0.0000 0.5000  2 V 2.56
Sn 0.5000 0.0000 0.0000  2 V 2.56
V 0.0000 0.0000 0.0000  6 Sn 2.56
Y 0.5000 0.5000 0.5000  12 Sn 3.62

Values from the calculation:
final energy = -5.439 eV/atom
density of states at the Fermi level = 0.931 states/eV per atom



Among the records above, which one has the highest final energy? Ba3NaSr3



What is the formula in the fourth record? La6Tc2IrCl3